Record 1
Computed, not measured: DySi2Pd6 after structural relaxation at the PBE level of DFT.

Its total energy is -5.784 eV per atom. For the uncorrected formation energy, the calculation gives -0.605 eV/atom.

The structure belongs to space group P6/mmm (No. 191); the cell edges are 5.5516, 5.5516 and 6.3192 Å and the angles 90.00°, 90.00° and 120.00°. The distinct sites, in fractional coordinates, are Dy at (0.0000, 0.0000, 0.0000), Si at (0.3333, 0.6667, 0.5000) and Pd at (0.0000, 0.5000, 0.2177).



Record 2
Computed, not measured: Dy2SiPd after structural relaxation at the PBE level of DFT.

Its total energy is -5.671 eV per atom. For the uncorrected formation energy, the calculation gives -0.716 eV/atom.

The structure belongs to space group P4/mmm (No. 123); the cell edges are 3.466, 3.466 and 7.197 Å and the angles 90.00°, 90.00° and 90.00°. The distinct sites, in fractional coordinates, are Dy at (0.000, 0.000, 0.250), Si at (0.500, 0.500, 0.000) and Pd at (0.500, 0.500, 0.500).



Record 3
Computed, not measured: DySi4Pd6 after structural relaxation at the PBE level of DFT.

Its total energy is -6.016 eV per atom. For the uncorrected formation energy, the calculation gives -0.794 eV/atom.

The structure belongs to space group P-6m2 (No. 187); the cell edges are 7.1514, 7.1514 and 3.8763 Å and the angles 90.00°, 90.00° and 120.00°. The distinct sites, in fractional coordinates, are Dy at (0.0000, 0.0000, 0.0000), Si at (0.3333, 0.6667, 0.0000), Si at (0.3850, 0.1925, 0.5000), Pd at (0.1978, 0.3956, 0.5000) and Pd at (0.5343, 0.0686, 0.0000).



Record 4
Computed, not measured: DySi3Pd5 after structural relaxation at the PBE level of DFT.

Its total energy is -5.903 eV per atom. For the uncorrected formation energy, the calculation gives -0.699 eV/atom.

The structure belongs to space group Cmcm (No. 63); the cell edges are 3.868, 12.543 and 12.648 Å and the angles 90.00°, 90.00° and 90.00°. The distinct sites, in fractional coordinates, are Dy at (0.000, 0.144, 0.250), Si at (0.000, 0.119, 0.750), Si at (0.000, 0.385, 0.541), Pd at (0.000, 0.000, 0.000), Pd at (0.000, 0.206, 0.577) and Pd at (0.000, 0.449, 0.146).



Record 5
Computed, not measured: Dy2SiPd2 after structural relaxation at the PBE level of DFT.

Its total energy is -5.793 eV per atom. For the uncorrected formation energy, the calculation gives -0.790 eV/atom.

The structure belongs to space group Pnnm (No. 58); the cell edges are 7.493, 13.980 and 4.152 Å and the angles 90.00°, 90.00° and 90.00°. The distinct sites, in fractional coordinates, are Dy at (0.026, 0.125, 0.000), Dy at (0.045, 0.631, 0.000), Si at (0.155, 0.472, 0.500), Pd at (0.167, 0.277, 0.500) and Pd at (0.180, 0.989, 0.500).



Record 6
Computed, not measured: DySi4Pd12 after structural relaxation at the PBE level of DFT.

Its total energy is -5.675 eV per atom. For the uncorrected formation energy, the calculation gives -0.462 eV/atom.

The structure belongs to space group Im-3 (No. 204); the cell edges are 8.366, 8.366 and 8.366 Å and the angles 90.00°, 90.00° and 90.00°. The distinct sites, in fractional coordinates, are Dy at (0.000, 0.000, 0.000), Si at (0.250, 0.250, 0.250) and Pd at (0.000, 0.338, 0.165).



Record 7
Computed, not measured: Dy2Si3Pd5 after structural relaxation at the PBE level of DFT.

Its total energy is -5.998 eV per atom. For the uncorrected formation energy, the calculation gives -0.854 eV/atom.

The structure belongs to space group Cmc2_1 (No. 36); the cell edges are 4.226, 24.090 and 6.704 Å and the angles 90.00°, 90.00° and 90.00°. The distinct sites, in fractional coordinates, are Dy at (0.000, 0.024, 0.000), Dy at (0.000, 0.326, 0.033), Si at (0.000, 0.120, 0.243), Si at (0.000, 0.273, 0.580), Si at (0.000, 0.450, 0.209), Pd at (0.000, 0.094, 0.608), Pd at (0.000, 0.200, 0.859), Pd at (0.000, 0.222, 0.274), Pd at (0.000, 0.374, 0.503) and Pd at (0.000, 0.446, 0.835).



Record 8
Computed, not measured: DySi4Pd8 after structural relaxation at the PBE level of DFT.

Its total energy is -5.875 eV per atom. For the uncorrected formation energy, the calculation gives -0.657 eV/atom.

The structure belongs to space group I4/mmm (No. 139); the cell edges are 8.705, 8.705 and 5.276 Å and the angles 90.00°, 90.00° and 90.00°. The distinct sites, in fractional coordinates, are Dy at (0.000, 0.000, 0.000), Si at (0.250, 0.250, 0.250), Pd at (0.000, 0.224, 0.500) and Pd at (0.000, 0.329, 0.000).